## Bi2HS2 (PBE)

Data for Bi2HS2 after structural relaxation.

Results
- Polymorph energy (0 for the lowest one): 495 meV per atom

```
data_Bi2HS2
_chemical_formula_sum 'Bi4 H2 S4'
_space_group_name_H-M_alt 'P 4/m b m'
_space_group_IT_number 127
_space_group_name_Hall '-P 4 2ab'
_cell_length_a 7.694
_cell_length_b 7.694
_cell_length_c 3.748
_cell_angle_alpha 90.00
_cell_angle_beta 90.00
_cell_angle_gamma 90.00
loop_
_atom_site_label
_atom_site_type_symbol
_atom_site_fract_x
_atom_site_fract_y
_atom_site_fract_z
Bi1 Bi 0.174 0.326 0.000
H1 H 0.000 0.000 0.500
S1 S 0.143 0.643 0.500
```

***

## Al5V2Ga (PBE)

Data for Al5V2Ga after structural relaxation.

Results
- DFT formation energy: -0.02 eV per atom

```
data_Al5V2Ga
_chemical_formula_sum 'Al10 V4 Ga2'
_space_group_name_H-M_alt 'I m m m'
_space_group_IT_number 71
_space_group_name_Hall '-I 2 2'
_cell_length_a 2.727
_cell_length_b 9.207
_cell_length_c 9.960
_cell_angle_alpha 90.00
_cell_angle_beta 90.00
_cell_angle_gamma 90.00
loop_
_atom_site_label
_atom_site_type_symbol
_atom_site_fract_x
_atom_site_fract_y
_atom_site_fract_z
Al1 Al 0.000 0.000 0.000
Al2 Al 0.000 0.278 0.363
V1 V 0.000 0.000 0.264
Ga1 Ga 0.000 0.500 0.000
```